No. 1
The following is a DFT calculation (GGA-PBEsol) of a geometry-optimized Ba5Al structure.

The energy relative to the elements is -0.02 eV per atom. Its distance to the lowest polymorph of the same formula is 0.0 meV per atom.

The space group is C2/m (No. 12) and the conventional cell measures 14.706, 4.250 and 10.365 Å, with angles of 90.00, 113.17 and 90.00 degrees. The inequivalent atoms are Ba at (0.000, 0.000, 0.000), Ba at (0.130, 0.500, 0.373), Ba at (0.159, 0.500, 0.771) and Al at (0.000, 0.000, 0.500).

---

No. 2
The following is a DFT calculation (GGA-PBEsol) of a geometry-optimized CeSi2Ni structure.

As for the raw formation energy: -0.88 eV/atom.

The space group is Cmcm (No. 63) and the conventional cell measures 4.047, 16.118 and 4.010 Å, with angles of 90.00, 90.00 and 90.00 degrees. The inequivalent atoms are Ce at (0.000, 0.106, 0.250), Si at (0.000, 0.249, 0.750), Si at (0.000, 0.460, 0.250) and Ni at (0.000, 0.320, 0.250).

---

No. 3
The following is a DFT calculation (GGA-PBEsol) of a geometry-optimized Te2RhSe structure.

As for the raw formation energy: -0.17 eV/atom.

The space group is C2/m (No. 12) and the conventional cell measures 6.829, 3.701 and 7.240 Å, with angles of 90.00, 102.66 and 90.00 degrees. The inequivalent atoms are Te at (0.222, 0.000, 0.207), Rh at (0.000, 0.500, 0.000) and Se at (0.000, 0.000, 0.500).

---

No. 4
The following is a DFT calculation (GGA-PBEsol) of a geometry-optimized InRu2Rh structure.

The energy relative to the elements is 0.22 eV per atom.

The space group is Pmmm (No. 47) and the conventional cell measures 2.750, 3.805 and 5.697 Å, with angles of 90.00, 90.00 and 90.00 degrees. The inequivalent atoms are In at (0.000, 0.000, 0.000), Ru at (0.500, 0.500, 0.275) and Rh at (0.000, 0.000, 0.500).

---

No. 5
The following is a DFT calculation (GGA-PBEsol) of a geometry-optimized InMoPb structure.

The energy relative to the elements is 0.81 eV per atom.

The space group is F-43m (No. 216) and the conventional cell measures 6.612, 6.612 and 6.612 Å, with angles of 90.00, 90.00 and 90.00 degrees. The inequivalent atoms are In at (0.000, 0.000, 0.000), Mo at (0.250, 0.250, 0.250) and Pb at (0.000, 0.000, 0.500).

---

No. 6
The following is a DFT calculation (GGA-PBEsol) of a geometry-optimized SrSbCl2 structure.

As for the raw formation energy: -1.30 eV/atom. Its distance to the lowest polymorph of the same formula is 0.0 meV per atom.

The space group is Amm2 (No. 38) and the conventional cell measures 5.744, 3.772 and 9.963 Å, with angles of 90.00, 90.00 and 90.00 degrees. The inequivalent atoms are Sr at (0.000, 0.000, 0.000), Sb at (0.500, 0.000, 0.597), Cl at (0.000, 0.000, 0.290) and Cl at (0.500, 0.000, 0.848).

---

No. 7
The following is a DFT calculation (GGA-PBEsol) of a geometry-optimized Mg5Zr structure.

The energy relative to the elements is 0.21 eV per atom.

The space group is F-43m (No. 216) and the conventional cell measures 8.113, 8.113 and 8.113 Å, with angles of 90.00, 90.00 and 90.00 degrees. The inequivalent atoms are Mg at (0.000, 0.000, 0.000), Mg at (0.124, 0.124, 0.376) and Zr at (0.250, 0.250, 0.750).

---

No. 8
The following is a DFT calculation (GGA-PBEsol) of a geometry-optimized YAg5 structure.

The energy relative to the elements is -0.10 eV per atom.

The space group is P4/mmm (No. 123) and the conventional cell measures 3.458, 3.458 and 9.352 Å, with angles of 90.00, 90.00 and 90.00 degrees. The inequivalent atoms are Y at (0.000, 0.000, 0.000), Ag at (0.000, 0.000, 0.345), Ag at (0.500, 0.500, 0.193) and Ag at (0.500, 0.500, 0.500).

---

| no. | mass density (g/cm³) | D(E_F) (states/eV/f.u.) |
| --- | --- | --- |
| 1 | 3.98 | 6.656 |
| 2 | 6.47 | 2.904 |
| 3 | 8.13 | 2.589 |
| 4 | 11.69 | 4.360 |
| 5 | 9.61 | 3.080 |
| 6 | 4.31 | 1.579 |
| 7 | 2.65 | 5.368 |
| 8 | 9.33 | 2.333 |